# PBE Cu4Ag, optimized geometry
# Total energy ... -34.8 eV for the cell shown
# Formation enthalpy at 0 K ... 0.06 eV per atom
# Theoretical density ... 9.235 Mg/m³
data_Cu4Ag
_symmetry_space_group_name_H-M 'I m m m'
_symmetry_Int_Tables_number 71
_symmetry_space_group_name_Hall '-I 2 2'
_cell_length_a 2.6790
_cell_length_b 3.5927
_cell_length_c 13.5269
_cell_angle_alpha 90.00
_cell_angle_beta 90.00
_cell_angle_gamma 90.00
loop_
_atom_site_label
_atom_site_type_symbol
_atom_site_fract_x
_atom_site_fract_y
_atom_site_fract_z
_atom_site_occupancy
Cu1 Cu 0.0000 0.0000 0.1113 1
Cu2 Cu 0.0000 0.0000 0.2971 1
Ag1 Ag 0.0000 0.0000 0.5000 1



# PBE AcPrNp, optimized geometry
# Total energy ... -73.3 eV for the cell shown
# Formation enthalpy at 0 K ... 1.11 eV per atom
# Theoretical density ... 8.437 Mg/m³
data_AcPrNp
_symmetry_space_group_name_H-M 'F -4 3 m'
_symmetry_Int_Tables_number 216
_symmetry_space_group_name_Hall 'F -4 2 3'
_cell_length_a 7.8092
_cell_length_b 7.8092
_cell_length_c 7.8092
_cell_angle_alpha 90.00
_cell_angle_beta 90.00
_cell_angle_gamma 90.00
loop_
_atom_site_label
_atom_site_type_symbol
_atom_site_fract_x
_atom_site_fract_y
_atom_site_fract_z
_atom_site_occupancy
Ac1 Ac 0.0000 0.0000 0.0000 1
Pr1 Pr 0.0000 0.0000 0.5000 1
Np1 Np 0.2500 0.2500 0.2500 1



# PBE Rb3ZrAs2, optimized geometry
# Total energy ... -95.5 eV for the cell shown
# Theoretical density ... 3.583 Mg/m³
data_Rb3ZrAs2
_symmetry_space_group_name_H-M 'I b a m'
_symmetry_Int_Tables_number 72
_symmetry_space_group_name_Hall '-I 2 2c'
_cell_length_a 8.3569
_cell_length_b 15.8021
_cell_length_c 6.9835
_cell_angle_alpha 90.00
_cell_angle_beta 90.00
_cell_angle_gamma 90.00
loop_
_atom_site_label
_atom_site_type_symbol
_atom_site_fract_x
_atom_site_fract_y
_atom_site_fract_z
_atom_site_occupancy
Rb1 Rb 0.0000 0.0000 0.2500 1
Rb2 Rb 0.2047 0.3099 0.0000 1
Zr1 Zr 0.0000 0.5000 0.2500 1
As1 As 0.1778 0.4086 0.5000 1



# PBE ThB4Ir, optimized geometry
# Total energy ... -43.6 eV for the cell shown
# Theoretical density ... 11.807 Mg/m³
data_ThB4Ir
_symmetry_space_group_name_H-M 'P 6/m m m'
_symmetry_Int_Tables_number 191
_symmetry_space_group_name_Hall '-P 6 2'
_cell_length_a 3.3233
_cell_length_b 3.3233
_cell_length_c 6.8746
_cell_angle_alpha 90.00
_cell_angle_beta 90.00
_cell_angle_gamma 120.00
loop_
_atom_site_label
_atom_site_type_symbol
_atom_site_fract_x
_atom_site_fract_y
_atom_site_fract_z
_atom_site_occupancy
Th1 Th 0.0000 0.0000 0.0000 1
B1 B 0.3333 0.6667 0.2950 1
Ir1 Ir 0.0000 0.0000 0.5000 1



# PBE UGa2Tc, optimized geometry
# Total energy ... -57.7 eV for the cell shown
# Theoretical density ... 10.954 Mg/m³
data_UGa2Tc
_symmetry_space_group_name_H-M 'P 1 21/m 1'
_symmetry_Int_Tables_number 11
_symmetry_space_group_name_Hall '-P 2yb'
_cell_length_a 4.5339
_cell_length_b 6.6988
_cell_length_c 4.9733
_cell_angle_alpha 90.00
_cell_angle_beta 107.37
_cell_angle_gamma 90.00
loop_
_atom_site_label
_atom_site_type_symbol
_atom_site_fract_x
_atom_site_fract_y
_atom_site_fract_z
_atom_site_occupancy
U1 U 0.0353 0.2500 0.1502 1
Ga1 Ga 0.4152 0.0518 0.7314 1
Tc1 Tc 0.1114 0.7500 0.3804 1



# PBE DyEr2Fe7Ni2, optimized geometry
# Total energy ... -254.6 eV for the cell shown
# Formation enthalpy at 0 K ... -0.15 eV per atom
# Theoretical density ... 9.453 Mg/m³
data_DyEr2Fe7Ni2
_symmetry_space_group_name_H-M 'R -3 m'
_symmetry_Int_Tables_number 166
_symmetry_space_group_name_Hall '-R 3 2"'
_cell_length_a 4.9914
_cell_length_b 4.9914
_cell_length_c 24.5553
_cell_angle_alpha 90.00
_cell_angle_beta 90.00
_cell_angle_gamma 120.00
loop_
_atom_site_label
_atom_site_type_symbol
_atom_site_fract_x
_atom_site_fract_y
_atom_site_fract_z
_atom_site_occupancy
Dy1 Dy 0.0000 0.0000 0.0000 1
Er1 Er 0.0000 0.0000 0.1419 1
Fe1 Fe 0.0000 0.0000 0.5000 1
Fe2 Fe 0.0001 0.5001 0.0825 1
Ni1 Ni 0.0000 0.0000 0.3327 1



# PBE Pr2Ge5Pd3, optimized geometry
# Total energy ... -223.2 eV for the cell shown
# Theoretical density ... 8.167 Mg/m³
data_Pr2Ge5Pd3
_symmetry_space_group_name_H-M 'I b a m'
_symmetry_Int_Tables_number 72
_symmetry_space_group_name_Hall '-I 2 2c'
_cell_length_a 10.2878
_cell_length_b 12.2035
_cell_length_c 6.2469
_cell_angle_alpha 90.00
_cell_angle_beta 90.00
_cell_angle_gamma 90.00
loop_
_atom_site_label
_atom_site_type_symbol
_atom_site_fract_x
_atom_site_fract_y
_atom_site_fract_z
_atom_site_occupancy
Pr1 Pr 0.2321 0.1297 0.0000 1
Ge1 Ge 0.0000 0.0000 0.2500 1
Ge2 Ge 0.0000 0.2739 0.2500 1
Ge3 Ge 0.1547 0.3933 0.0000 1
Pd1 Pd 0.0000 0.5000 0.2500 1
Pd2 Pd 0.1097 0.1397 0.5000 1



# PBE Tb3Ni2Sn3Pt, optimized geometry
# Total energy ... -50.2 eV for the cell shown
# Theoretical density ... 10.044 Mg/m³
data_Tb3Ni2Sn3Pt
_symmetry_space_group_name_H-M 'P -6 2 m'
_symmetry_Int_Tables_number 189
_symmetry_space_group_name_Hall 'P -6 -2'
_cell_length_a 7.3550
_cell_length_b 7.3550
_cell_length_c 4.0418
_cell_angle_alpha 90.00
_cell_angle_beta 90.00
_cell_angle_gamma 120.00
loop_
_atom_site_label
_atom_site_type_symbol
_atom_site_fract_x
_atom_site_fract_y
_atom_site_fract_z
_atom_site_occupancy
Tb1 Tb 0.0000 0.5908 0.0000 1
Ni1 Ni 0.3333 0.6667 0.5000 1
Sn1 Sn 0.0000 0.2655 0.5000 1
Pt1 Pt 0.0000 0.0000 0.0000 1



# PBE KLaMo, optimized geometry
# Total energy ... -49.2 eV for the cell shown
# Theoretical density ... 4.377 Mg/m³
data_KLaMo
_symmetry_space_group_name_H-M 'F -4 3 m'
_symmetry_Int_Tables_number 216
_symmetry_space_group_name_Hall 'F -4 2 3'
_cell_length_a 7.4632
_cell_length_b 7.4632
_cell_length_c 7.4632
_cell_angle_alpha 90.00
_cell_angle_beta 90.00
_cell_angle_gamma 90.00
loop_
_atom_site_label
_atom_site_type_symbol
_atom_site_fract_x
_atom_site_fract_y
_atom_site_fract_z
_atom_site_occupancy
K1 K 0.0000 0.0000 0.0000 1
La1 La 0.0000 0.0000 0.5000 1
Mo1 Mo 0.2500 0.2500 0.2500 1



# PBE SmAl4InIr, optimized geometry
# Total energy ... -35.5 eV for the cell shown
# Theoretical density ... 6.855 Mg/m³
data_SmAl4InIr
_symmetry_space_group_name_H-M 'P 4/m m m'
_symmetry_Int_Tables_number 123
_symmetry_space_group_name_Hall '-P 4 2'
_cell_length_a 4.3964
_cell_length_b 4.3964
_cell_length_c 7.0846
_cell_angle_alpha 90.00
_cell_angle_beta 90.00
_cell_angle_gamma 90.00
loop_
_atom_site_label
_atom_site_type_symbol
_atom_site_fract_x
_atom_site_fract_y
_atom_site_fract_z
_atom_site_occupancy
Sm1 Sm 0.0000 0.0000 0.0000 1
Al1 Al 0.0000 0.5000 0.3127 1
In1 In 0.5000 0.5000 0.0000 1
Ir1 Ir 0.0000 0.0000 0.5000 1



# PBE Y4Nb2Au3C3, optimized geometry
# Total energy ... -358.3 eV for the cell shown
# Theoretical density ... 8.636 Mg/m³
data_Y4Nb2Au3C3
_symmetry_space_group_name_H-M 'C 1 2/c 1'
_symmetry_Int_Tables_number 15
_symmetry_space_group_name_Hall '-C 2yc'
_cell_length_a 10.4917
_cell_length_b 6.0751
_cell_length_c 14.5028
_cell_angle_alpha 90.00
_cell_angle_beta 103.57
_cell_angle_gamma 90.00
loop_
_atom_site_label
_atom_site_type_symbol
_atom_site_fract_x
_atom_site_fract_y
_atom_site_fract_z
_atom_site_occupancy
Y1 Y 0.1171 0.0711 0.1049 1
Y2 Y 0.2103 0.0888 0.3950 1
Nb1 Nb 0.0676 0.4078 0.9291 1
Au1 Au 0.0000 0.1486 0.7500 1
Au2 Au 0.1370 0.4457 0.2496 1
C1 C 0.0728 0.2811 0.4997 1
C2 C 0.2500 0.2500 0.0000 1



# PBE CuSi2, optimized geometry
# Total energy ... -55.1 eV for the cell shown
# Theoretical density ... 4.657 Mg/m³
data_CuSi2
_symmetry_space_group_name_H-M 'P n m a'
_symmetry_Int_Tables_number 62
_symmetry_space_group_name_Hall '-P 2ac 2n'
_cell_length_a 4.7933
_cell_length_b 3.7492
_cell_length_c 9.5012
_cell_angle_alpha 90.00
_cell_angle_beta 90.00
_cell_angle_gamma 90.00
loop_
_atom_site_label
_atom_site_type_symbol
_atom_site_fract_x
_atom_site_fract_y
_atom_site_fract_z
_atom_site_occupancy
Cu1 Cu 0.1490 0.2500 0.0344 1
Si1 Si 0.1262 0.2500 0.4001 1
Si2 Si 0.1408 0.7500 0.2134 1



- What is the theoretical density in the tenth record?
  6.855 Mg/m³



- Among the records above, which one has the highest total energy?
  Cu4Ag



- Which value of theoretical density does entry 3 give?
  3.583 Mg/m³